Record 1
This record from Alexandria via LeMat-Bulk describes a relaxed Ga2Si2S crystal. The functional is PBE.

abc: 4.9408 4.9429 4.9845
angles: 115.98 116.18 90.20
Fractional coordinates of all 5 atoms:
Ga 0.0000 0.0000 0.0000
Ga 0.2710 0.7322 0.4995
Si 0.5805 0.1455 0.1853
Si 0.8544 0.4200 0.8145
S 0.5041 0.4944 0.9987

Computed properties:
**ΔE to the lowest computed polymorph**: 225 meV/atom
**Crystal system**: triclinic
**Formation energy without anion corrections**: 0.12 eV per atom

---

Record 2
This record from Alexandria via LeMat-Bulk describes a relaxed GaSi2S crystal. The functional is PBE.

abc: 3.1185 3.1185 17.0765
angles: 90.00 90.00 90.00
Fractional coordinates of all 8 atoms:
Ga 0.0000 0.0000 0.0000
Ga 0.5000 0.5000 0.5000
Si 0.0000 0.0000 0.5977
Si 0.0000 0.0000 0.7355
Si 0.5000 0.5000 0.0977
Si 0.5000 0.5000 0.2355
S 0.0000 0.0000 0.2857
S 0.5000 0.5000 0.7857

Computed properties:
**ΔE to the lowest computed polymorph**: 283 meV/atom
**Crystal system**: tetragonal
**Formation energy without anion corrections**: 0.18 eV per atom

---

Record 3
This record from Alexandria via LeMat-Bulk describes a relaxed Ga2Si2S crystal. The functional is PBE.

abc: 3.7062 3.7126 8.5901
angles: 78.50 78.18 60.18
Fractional coordinates of all 5 atoms:
Ga 0.0000 0.0000 0.0000
Ga 0.4049 0.3976 0.7737
Si 0.2553 0.2418 0.2250
Si 0.8840 0.8724 0.3413
S 0.7922 0.7820 0.6093

Computed properties:
**ΔE to the lowest computed polymorph**: 55 meV/atom
**Crystal system**: triclinic
**Formation energy without anion corrections**: -0.05 eV per atom

---

Record 4
This record from Alexandria via LeMat-Bulk describes a relaxed Ga3SiS crystal. The functional is PBE.

abc: 4.8245 4.8245 4.8245
angles: 90.00 90.00 90.00
Fractional coordinates of all 5 atoms:
Ga 0.0000 0.0000 0.5000
Ga 0.0000 0.5000 0.0000
Ga 0.5000 0.0000 0.0000
Si 0.0000 0.0000 0.0000
S 0.5000 0.5000 0.5000

Computed properties:
**ΔE to the lowest computed polymorph**: 0 meV/atom
**Crystal system**: cubic
**Formation energy without anion corrections**: 0.29 eV per atom

---

Record 5
This record from Alexandria via LeMat-Bulk describes a relaxed GaSi2S crystal. The functional is PBE.

abc: 3.2053 4.3847 5.9078
angles: 111.01 103.15 93.05
Fractional coordinates of all 4 atoms:
Ga 0.0000 0.0000 0.0000
Si 0.1387 0.3843 0.4520
Si 0.3395 0.4690 0.8935
S 0.6601 0.7287 0.4471

Computed properties:
**ΔE to the lowest computed polymorph**: 177 meV/atom
**Crystal system**: triclinic
**Formation energy without anion corrections**: 0.07 eV per atom

---

Record 6
This record from Alexandria via LeMat-Bulk describes a relaxed GaSiS2 crystal. The functional is PBE.

abc: 3.4972 3.4972 22.7683
angles: 90.00 90.00 120.00
Fractional coordinates of all 12 atoms:
Ga 0.0000 0.0000 0.0000
Ga 0.3333 0.6667 0.6667
Ga 0.6667 0.3333 0.3333
Si 0.0000 0.0000 0.5000
Si 0.3333 0.6667 0.1667
Si 0.6667 0.3333 0.8333
S 0.0000 0.0000 0.3940
S 0.0000 0.0000 0.6060
S 0.3333 0.6667 0.0606
S 0.3333 0.6667 0.2727
S 0.6667 0.3333 0.7273
S 0.6667 0.3333 0.9394

Computed properties:
**Crystal system**: trigonal
**Formation energy without anion corrections**: -0.03 eV per atom

---

Record 7
This record from Alexandria via LeMat-Bulk describes a relaxed Ga3SiS crystal. The functional is PBE.

abc: 4.7961 4.7961 4.7961
angles: 90.00 90.00 90.00
Fractional coordinates of all 5 atoms:
Ga 0.0000 0.0000 0.5000
Ga 0.0000 0.5000 0.0000
Ga 0.5000 0.0000 0.0000
Si 0.5000 0.5000 0.5000
S 0.0000 0.0000 0.0000

Computed properties:
**ΔE to the lowest computed polymorph**: 292 meV/atom
**Crystal system**: cubic
**Formation energy without anion corrections**: 0.59 eV per atom

---

Record 8
This record from Alexandria via LeMat-Bulk describes a relaxed Ga2Si2S crystal. The functional is PBE.

abc: 3.7918 3.7918 8.4080
angles: 90.00 90.00 120.00
Fractional coordinates of all 5 atoms:
Ga 0.0000 0.0000 0.0000
Ga 0.3333 0.6667 0.8156
Si 0.3333 0.6667 0.5243
Si 0.6667 0.3333 0.4291
S 0.6667 0.3333 0.1647

Computed properties:
**ΔE to the lowest computed polymorph**: 22 meV/atom
**Crystal system**: trigonal
**Formation energy without anion corrections**: -0.09 eV per atom

---

Record 9
This record from Alexandria via LeMat-Bulk describes a relaxed GaSi2S crystal. The functional is PBE.

abc: 5.9181 5.1240 4.9734
angles: 90.00 110.28 90.00
Fractional coordinates of all 8 atoms:
Ga 0.0000 0.0000 0.0000
Ga 0.5000 0.5000 0.0000
Si 0.3116 0.5000 0.4436
Si 0.4020 0.0000 0.4492
Si 0.8116 0.0000 0.4436
Si 0.9020 0.5000 0.4492
S 0.4470 0.0000 0.9144
S 0.9470 0.5000 0.9144

Computed properties:
**ΔE to the lowest computed polymorph**: 196 meV/atom
**Crystal system**: monoclinic
**Formation energy without anion corrections**: 0.09 eV per atom

---

Record 10
This record from Alexandria via LeMat-Bulk describes a relaxed Ga2Si2S crystal. The functional is PBE.

abc: 3.2554 3.8130 8.2953
angles: 80.55 78.94 66.05
Fractional coordinates of all 5 atoms:
Ga 0.0000 0.0000 0.0000
Ga 0.4180 0.4506 0.7811
Si 0.2545 0.1201 0.3576
Si 0.6036 0.5772 0.1990
S 0.7227 0.9815 0.5545

Computed properties:
**ΔE to the lowest computed polymorph**: 133 meV/atom
**Crystal system**: triclinic
**Formation energy without anion corrections**: 0.02 eV per atom

---

Record 11
This record from Alexandria via LeMat-Bulk describes a relaxed GaSi2S crystal. The functional is PBE.

abc: 6.3973 6.3973 6.3973
angles: 90.00 90.00 90.00
Fractional coordinates of all 16 atoms:
Ga 0.0000 0.0000 0.0000
Ga 0.0000 0.5000 0.5000
Ga 0.5000 0.0000 0.5000
Ga 0.5000 0.5000 0.0000
Si 0.2500 0.2500 0.2500
Si 0.2500 0.2500 0.7500
Si 0.2500 0.7500 0.2500
Si 0.2500 0.7500 0.7500
Si 0.7500 0.2500 0.2500
Si 0.7500 0.2500 0.7500
Si 0.7500 0.7500 0.2500
Si 0.7500 0.7500 0.7500
S 0.0000 0.0000 0.5000
S 0.0000 0.5000 0.0000
S 0.5000 0.0000 0.0000
S 0.5000 0.5000 0.5000

Computed properties:
**ΔE to the lowest computed polymorph**: 630 meV/atom
**Crystal system**: cubic
**Formation energy without anion corrections**: 0.52 eV per atom

---

Record 12
This record from Alexandria via LeMat-Bulk describes a relaxed Ga2Si2S crystal. The functional is PBE.

abc: 4.2860 4.9180 5.6586
angles: 105.64 99.55 99.57
Fractional coordinates of all 5 atoms:
Ga 0.0000 0.0000 0.0000
Ga 0.0903 0.2738 0.4510
Si 0.4610 0.0938 0.7843
Si 0.7558 0.5084 0.7067
S 0.4713 0.7155 0.4545

Computed properties:
**ΔE to the lowest computed polymorph**: 102 meV/atom
**Crystal system**: triclinic
**Formation energy without anion corrections**: -0.01 eV per atom

---

Calculated density for every record listed, in sequence, given in g/cm³: 3.97, 3.16, 3.79, 3.98, 3.51, 3.35, 4.05, 3.61, 3.71, 4.11, 4.01, 3.42.